A relaxed VInP2Cl crystal, computed with PBE.

a b c (Å): 5.0664 5.0664 5.0809
angles (deg): 90.00 90.00 90.00
With the nearest neighbours (Å) after each atom.
Space group P4/mmm (No. 123)
One atom of each set of equivalent atoms:
V 0.0000 0.0000 0.0000 (multiplicity 1)  4 Cl 3.58, 8 P 3.59
In 0.5000 0.5000 0.5000 (multiplicity 1)  4 P 2.53, 2 Cl 2.54
P 0.0000 0.5000 0.5000 (multiplicity 2)  2 In 2.53
Cl 0.5000 0.5000 0.0000 (multiplicity 1)  2 In 2.54

## Properties
Calculated density: 3.35 g/cm3
Formation energy without anion corrections: 0.952 eV/atom
Distance to the lowest polymorph of the same formula: 1023 meV per atom